--- a ---
# MgTaTeN2

A relaxed structure of MgTaTeN2 (PBE, the Alexandria database).

- D(E_F): 1.12 states/eV/atom

Lattice parameters (Å, degrees): 3.9938 3.9938 5.2778 90.00 90.00 90.00
Closest atoms and distances in Å follow each position.
Fractional coordinates of all 5 atoms:
N 0.5000 0.0000 0.0000  2 Mg 2.00
N 0.0000 0.5000 0.0000  2 Mg 2.00
Mg 0.0000 0.0000 0.0000  4 N 2.00
Te 0.0000 0.0000 0.5000  2 Mg 2.64, 4 Ta 2.82
Ta 0.5000 0.5000 0.5000  4 Te 2.82

=====

--- b ---
# MgTaTeN2

A relaxed structure of MgTaTeN2 (PBE, the Alexandria database).

- D(E_F): 0.69 states/eV/atom

Lattice parameters (Å, degrees): 4.0448 4.0448 5.8352 90.00 90.00 90.00
Closest atoms and distances in Å follow each position.
Fractional coordinates of all 5 atoms:
Mg 0.5000 0.5000 0.5000  4 Te 2.86
N 0.0000 0.5000 0.0000  2 Ta 2.02
N 0.5000 0.0000 0.0000  2 Ta 2.02
Ta 0.0000 0.0000 0.0000  4 N 2.02
Te 0.0000 0.0000 0.5000  4 Mg 2.86, 2 Ta 2.92

=====

Which of them is the most stable? Correct choice: b.

=====

--- a ---
# Tb2MgN

A relaxed structure of Tb2MgN (PBE, the Alexandria database).

- D(E_F): 0.90 states/eV/atom

Lattice parameters (Å, degrees): 3.5043 3.5043 8.6208 78.27 78.27 60.00
Closest atoms and distances in Å follow each position.
Fractional coordinates of all 4 atoms:
Tb 0.7203 0.7203 0.8391  3 N 2.43
Tb 0.2797 0.2797 0.1609  3 N 2.43
N 0.0000 0.0000 0.0000  6 Tb 2.43
Mg 0.5000 0.5000 0.5000  6 Tb 3.49, 6 Mg 3.50

=====

--- b ---
# Tb2MgN

A relaxed structure of Tb2MgN (PBE, the Alexandria database).

- D(E_F): 0.78 states/eV/atom

Lattice parameters (Å, degrees): 3.5002 3.5002 16.9320 90.00 90.00 120.00
Closest atoms and distances in Å follow each position.
Fractional coordinates of all 8 atoms:
N 0.0000 0.0000 0.0000  6 Tb 2.43
N 0.0000 0.0000 0.5000  6 Tb 2.43
Mg 0.3333 0.6667 0.7500  6 Mg 3.50, 6 Tb 3.52
Mg 0.6667 0.3333 0.2500  6 Mg 3.50, 6 Tb 3.52
Tb 0.6667 0.3333 0.9205  3 N 2.43
Tb 0.6667 0.3333 0.5795  3 N 2.43
Tb 0.3333 0.6667 0.0795  3 N 2.43
Tb 0.3333 0.6667 0.4205  3 N 2.43

=====

Which of them is the most stable? Correct choice: a.